Material: SrIn2WF
Method: DFT, PBE+U
State: optimized geometry

Computed properties:
- Raw total energy: -3.57 eV per atom
- Space-group type: No. 123

POSCAR file:
```
SrIn2WF
1.0
5.8152 0.0000 0.0000
0.0000 4.2210 0.0000
0.0000 0.0000 5.8152
In Sr W F
2 1 1 1
Direct
0.5000 0.0000 0.0000
0.0000 0.0000 0.5000
0.5000 0.5000 0.5000
0.0000 0.0000 0.0000
0.0000 0.5000 0.0000
```